## w
## NbInH (PBE)

Data for a geometry-optimized NbInH structure.

The calculated density comes out at 6.65 g/cm³. The density of states at the Fermi level is 3.1 states/eV per cell.

Unit cell a=2.9202 b=4.1054 c=8.6893 alpha=90.00 beta=90.00 gamma=90.00
Positions (direct):
Nb 0.5000 0.0000 0.5907
H 0.0000 0.0000 0.4290
Nb 0.0000 0.5000 0.4093
H 0.5000 0.5000 0.5710
In 0.0000 0.0000 0.8877
In 0.5000 0.5000 0.1123

## x
## NbInH (PBE)

Data for a geometry-optimized NbInH structure.

The calculated density comes out at 7.70 g/cm³. The density of states at the Fermi level is 0.6 states/eV per cell.

Unit cell a=2.9223 b=2.9223 c=5.6620 alpha=104.95 beta=104.95 gamma=90.00
Positions (direct):
H 0.2697 0.2697 0.5394
In 0.0033 0.0033 0.0067
Nb 0.7270 0.7270 0.4539

## y
## NbInH (PBE)

Data for a geometry-optimized NbInH structure.

The calculated density comes out at 7.93 g/cm³. The density of states at the Fermi level is 1.3 states/eV per cell.

Unit cell a=3.2808 b=3.2808 c=4.6865 alpha=90.00 beta=90.00 gamma=120.00
Positions (direct):
H 0.3333 0.6667 0.5093
In 0.0000 0.0000 0.9962
Nb 0.6667 0.3333 0.4945

The most stable of them is y.

## w
## NdInH (PBE)

Data for a geometry-optimized NdInH structure.

The calculated density comes out at 6.51 g/cm³. The density of states at the Fermi level is 3.2 states/eV per cell.

Unit cell a=4.4262 b=4.3915 c=8.3186 alpha=105.68 beta=90.01 gamma=120.25
Positions (direct):
H 0.2974 0.0949 0.3909
H 0.7026 0.9051 0.6091
Nd 0.6049 0.7097 0.3151
In 0.8548 0.2096 0.0661
In 0.1452 0.7904 0.9339
Nd 0.3951 0.2903 0.6849

## x
## NdInH (PBE)

Data for a geometry-optimized NdInH structure.

The calculated density comes out at 6.67 g/cm³. The density of states at the Fermi level is 2.1 states/eV per cell.

Unit cell a=3.2979 b=3.2979 c=6.3911 alpha=104.95 beta=104.95 gamma=90.00
Positions (direct):
Nd 0.7291 0.7291 0.4581
H 0.2646 0.2646 0.5293
In 0.0063 0.0063 0.0126

The most stable of them is w.

## w
## Nd2InH (PBE)

Data for a geometry-optimized Nd2InH structure.

The calculated density comes out at 7.26 g/cm³. The density of states at the Fermi level is 3.5 states/eV per cell.

Unit cell a=3.4504 b=3.4504 c=7.7714 alpha=90.00 beta=90.00 gamma=90.00
Positions (direct):
In 0.5000 0.5000 0.5000
Nd 0.0000 0.0000 0.7836
H 0.5000 0.5000 0.0000
Nd 0.0000 0.0000 0.2164

## x
## Nd2InH (PBE)

Data for a geometry-optimized Nd2InH structure.

The calculated density comes out at 7.03 g/cm³. The density of states at the Fermi level is 8.8 states/eV per cell.

Unit cell a=5.9971 b=5.9971 c=9.1946 alpha=90.00 beta=90.00 gamma=120.00
Last column: magnetic moment on the atom in μB.
Positions (direct):
Nd 0.1759 0.8270 0.0007  0.09
In 0.4998 0.0000 0.3333  -0.01
In 0.0000 0.4998 0.6667  -0.01
Nd 0.6511 0.8241 0.6674  0.09
H 0.5000 0.0000 0.8333  0.00
Nd 0.3489 0.1730 0.6660  0.09
H 0.5000 0.5000 0.5000  0.00
Nd 0.8241 0.6511 0.3326  0.09
H 0.0000 0.5000 0.1667  0.00
Nd 0.1730 0.3489 0.3340  0.09
In 0.5002 0.5002 0.0000  -0.01
Nd 0.8270 0.1759 0.9993  0.09

## y
## Nd2InH (PBE)

Data for a geometry-optimized Nd2InH structure.

The calculated density comes out at 6.96 g/cm³. The density of states at the Fermi level is 2.7 states/eV per cell.

Unit cell a=3.7317 b=3.7317 c=8.2839 alpha=76.98 beta=76.98 gamma=60.00
Positions (direct):
Nd 0.2730 0.2730 0.1809
Nd 0.7270 0.7270 0.8191
In 0.5000 0.5000 0.5000
H 0.0000 0.0000 0.0000

The most stable of them is x.

## w
## InNi3H (PBE)

Data for a geometry-optimized InNi3H structure.

The calculated density comes out at 8.72 g/cm³. The density of states at the Fermi level is 12.9 states/eV per cell.

Unit cell a=9.8249 b=6.9936 c=6.9936 alpha=78.57 beta=123.93 gamma=56.07
Positions (direct):
Ni 0.9061 0.8018 0.8387
H 0.7500 0.1949 0.6949
Ni 0.4272 0.3900 0.4862
Ni 0.0728 0.9862 0.8900
Ni 0.5939 0.3387 0.3018
Ni 0.0870 0.7448 0.6588
Ni 0.9130 0.2552 0.3412
In 0.9215 0.5203 0.6489
In 0.4215 0.8511 0.9797
Ni 0.0939 0.1982 0.1613
Ni 0.5728 0.6100 0.5138
H 0.7500 0.4381 0.9381
Ni 0.5870 0.8412 0.7552
In 0.5785 0.1489 0.0203
Ni 0.9272 0.0138 0.1100
H 0.2500 0.5619 0.0619
In 0.0785 0.4797 0.3511
Ni 0.4130 0.1588 0.2448
Ni 0.4061 0.6613 0.6982
H 0.2500 0.8051 0.3051

## x
## InNi3H (PBE)

Data for a geometry-optimized InNi3H structure.

The calculated density comes out at 8.33 g/cm³. The density of states at the Fermi level is 7.4 states/eV per cell.

Unit cell a=2.9062 b=2.9062 c=15.9084 alpha=90.00 beta=90.00 gamma=120.00
Positions (direct):
Ni 0.3333 0.6667 0.8695
Ni 0.6667 0.3333 0.1305
In 0.0000 0.0000 0.5000
Ni 0.6667 0.3333 0.3695
Ni 0.3333 0.6667 0.6305
H 0.6667 0.3333 0.2500
H 0.3333 0.6667 0.7500
Ni 0.0000 0.0000 0.7500
In 0.0000 0.0000 0.0000
Ni 0.0000 0.0000 0.2500

The most stable of them is w.

## w
## InNi3H (PBE)

Data for a geometry-optimized InNi3H structure.

The calculated density comes out at 8.95 g/cm³. The density of states at the Fermi level is 4.7 states/eV per cell.

Unit cell a=6.0583 b=5.3598 c=3.7276 alpha=90.00 beta=90.00 gamma=63.53
Positions (direct):
In 0.1704 0.8350 0.6096
H 0.6941 0.0732 0.1098
Ni 0.9351 0.7029 0.1095
Ni 0.9351 0.2029 0.1095
Ni 0.6758 0.0827 0.6094
In 0.6998 0.5706 0.6096
Ni 0.4352 0.9668 0.1094
Ni 0.4350 0.4389 0.1094
H 0.1761 0.3323 0.1100
Ni 0.1944 0.3230 0.6094

## x
## InNi3H (PBE)

Data for a geometry-optimized InNi3H structure.

The calculated density comes out at 8.19 g/cm³. The density of states at the Fermi level is 5.4 states/eV per cell.

Unit cell a=5.3566 b=5.3566 c=4.8810 alpha=90.00 beta=90.00 gamma=122.36
Positions (direct):
H 0.1146 0.8854 0.2500
Ni 0.9160 0.5295 0.2500
Ni 0.4705 0.0840 0.2500
Ni 0.0000 0.0000 0.0000
H 0.8854 0.1146 0.7500
Ni 0.0840 0.4705 0.7500
Ni 0.0000 0.0000 0.5000
Ni 0.5295 0.9160 0.7500
In 0.5827 0.4173 0.7500
In 0.4173 0.5827 0.2500

## y
## InNi3H (PBE)

Data for a geometry-optimized InNi3H structure.

The calculated density comes out at 7.99 g/cm³. The density of states at the Fermi level is 7.1 states/eV per cell.

Unit cell a=15.3736 b=6.9967 c=6.9967 alpha=150.26 beta=156.06 gamma=23.94
Positions (direct):
Ni 0.3037 0.5803 0.4197
Ni 0.5975 0.7031 0.2969
H 0.2981 0.0889 0.9111
Ni 0.4025 0.2969 0.7031
Ni 0.8973 0.8089 0.1911
In 0.2123 0.8691 0.1309
H 0.7019 0.9111 0.0889
In 0.7877 0.1309 0.8691
Ni 0.1027 0.1911 0.8089
Ni 0.6963 0.4197 0.5803

## z
## InNi3H (PBE)

Data for a geometry-optimized InNi3H structure.

The calculated density comes out at 8.87 g/cm³. The density of states at the Fermi level is 10.4 states/eV per cell.

Unit cell a=16.5156 b=4.3418 c=7.1462 alpha=90.00 beta=154.74 gamma=90.00
Positions (direct):
Ni 0.8250 0.7507 0.4767
H 0.6416 0.0586 0.1744
Ni 0.2845 0.2310 0.1014
Ni 0.0766 0.7463 0.7260
Ni 0.1750 0.2493 0.5233
In 0.9441 0.7686 0.0845
H 0.3584 0.9414 0.8256
In 0.0559 0.2314 0.9155
Ni 0.4234 0.2463 0.7740
Ni 0.9234 0.2537 0.2740
Ni 0.3250 0.7493 0.9767
H 0.8584 0.5586 0.3256
Ni 0.7155 0.7690 0.8986
Ni 0.2155 0.7310 0.3986
H 0.1416 0.4414 0.6744
Ni 0.5766 0.7537 0.2260
Ni 0.6750 0.2507 0.0233
Ni 0.7845 0.2690 0.6014
In 0.4441 0.7314 0.5845
In 0.5559 0.2686 0.4155

The most stable of them is w.

## w
## InNi3H (PBE)

Data for a geometry-optimized InNi3H structure.

The calculated density comes out at 6.64 g/cm³. The density of states at the Fermi level is 9.5 states/eV per cell.

Unit cell a=6.8865 b=6.8865 c=4.6432 alpha=90.00 beta=90.00 gamma=138.45
Last column: magnetic moment on the atom in μB.
Positions (direct):
H 0.4427 0.5573 0.2500  0.00
Ni 0.0000 0.0000 0.5000  0.32
Ni 0.1139 0.3834 0.2500  0.10
Ni 0.0000 0.0000 0.0000  0.34
In 0.1862 0.8138 0.2500  -0.01
Ni 0.6166 0.8861 0.2500  0.10
H 0.5573 0.4427 0.7500  0.00
In 0.8138 0.1862 0.7500  -0.01
Ni 0.3834 0.1139 0.7500  0.10
Ni 0.8861 0.6166 0.7500  0.10

## x
## InNi3H (PBE)

Data for a geometry-optimized InNi3H structure.

The calculated density comes out at 8.77 g/cm³. The density of states at the Fermi level is 1.4 states/eV per cell.

Unit cell a=5.4261 b=5.3480 c=5.3488 alpha=120.01 beta=90.00 gamma=119.55
Positions (direct):
Ni 0.3020 0.5474 0.2893
In 0.3270 0.5767 0.8039
Ni 0.8273 0.0708 0.8103
H 0.3620 0.9337 0.4825
Ni 0.3017 0.0663 0.8084
Ni 0.8274 0.0708 0.2916
Ni 0.8273 0.5892 0.8102
Ni 0.3018 0.0663 0.2892
H 0.7620 0.1998 0.6154
In 0.8022 0.5603 0.2957

## y
## InNi3H (PBE)

Data for a geometry-optimized InNi3H structure.

The calculated density comes out at 8.68 g/cm³. The density of states at the Fermi level is 11.2 states/eV per cell.

Unit cell a=11.6111 b=7.1176 c=7.1176 alpha=98.05 beta=134.20 gamma=45.80
Positions (direct):
Ni 0.7602 0.1915 0.9753
Ni 0.2602 0.5247 0.3085
In 0.2500 0.8996 0.3996
In 0.7500 0.1004 0.6004
Ni 0.2363 0.6779 0.6503
Ni 0.2398 0.8085 0.0247
H 0.3857 0.6976 0.9671
Ni 0.7376 0.7149 0.4520
Ni 0.2376 0.0480 0.7851
H 0.8857 0.5329 0.8024
Ni 0.7398 0.4753 0.6915
Ni 0.2624 0.2851 0.5480
In 0.7500 0.5998 0.0998
In 0.2500 0.4002 0.9002
Ni 0.7624 0.9520 0.2149
Ni 0.7363 0.8497 0.8221
H 0.6143 0.3024 0.0329
Ni 0.7637 0.3221 0.3497
H 0.1143 0.4671 0.1976
Ni 0.2637 0.1503 0.1779

The most stable of them is x.

## w
## InNi3H (PBE)

Data for a geometry-optimized InNi3H structure.

The calculated density comes out at 8.90 g/cm³. The density of states at the Fermi level is 4.3 states/eV per cell.

Unit cell a=5.2848 b=4.7055 c=4.7056 alpha=111.40 beta=89.97 gamma=89.98
Positions (direct):
Ni 0.4351 0.5127 0.6223
In 0.6850 0.4884 0.1266
Ni 0.6849 0.0203 0.5948
Ni 0.9354 0.9927 0.1024
Ni 0.1851 0.4855 0.1300
Ni 0.9350 0.5128 0.6222
H 0.6850 0.8067 0.8085
Ni 0.4354 0.9928 0.1023
H 0.1850 0.6991 0.9165
In 0.1849 0.0173 0.5982

## x
## InNi3H (PBE)

Data for a geometry-optimized InNi3H structure.

The calculated density comes out at 8.14 g/cm³. The density of states at the Fermi level is 8.4 states/eV per cell.

Unit cell a=6.9132 b=6.9132 c=6.9132 alpha=39.26 beta=39.26 gamma=39.26
Positions (direct):
Ni 0.5473 0.8854 0.2251
Ni 0.4527 0.1146 0.7749
Ni 0.7749 0.4527 0.1146
H 0.1572 0.1572 0.1572
Ni 0.1146 0.7749 0.4527
Ni 0.8854 0.2251 0.5473
In 0.6661 0.6661 0.6661
H 0.8428 0.8428 0.8428
Ni 0.2251 0.5473 0.8854
In 0.3339 0.3339 0.3339

## y
## InNi3H (PBE)

Data for a geometry-optimized InNi3H structure.

The calculated density comes out at 6.56 g/cm³. The density of states at the Fermi level is 6.5 states/eV per cell.

Unit cell a=3.4322 b=3.4322 c=6.2763 alpha=90.00 beta=90.00 gamma=90.00
Last column: magnetic moment on the atom in μB.
Positions (direct):
In 0.0000 0.0000 0.1301  -0.02
Ni 0.0000 0.0000 0.7322  0.58
Ni 0.0000 0.5000 0.4620  0.19
Ni 0.5000 0.0000 0.4620  0.19
H 0.5000 0.5000 0.4775  0.00

## z
## InNi3H (PBE)

Data for a geometry-optimized InNi3H structure.

The calculated density comes out at 8.57 g/cm³. The density of states at the Fermi level is 7.2 states/eV per cell.

Unit cell a=16.3068 b=6.5280 c=6.5280 alpha=140.07 beta=155.40 gamma=24.60
Positions (direct):
Ni 0.5530 0.3340 0.6660
H 0.0613 0.1492 0.8508
In 0.6626 0.9733 0.0267
Ni 0.9677 0.1416 0.8584
Ni 0.2011 0.4139 0.5861
Ni 0.7989 0.5861 0.4139
H 0.9387 0.8508 0.1492
In 0.3374 0.0267 0.9733
Ni 0.0323 0.8584 0.1416
Ni 0.4470 0.6660 0.3340

The most stable of them is w.

## w
## InNi3H (PBE)

Data for a geometry-optimized InNi3H structure.

The calculated density comes out at 8.85 g/cm³. The density of states at the Fermi level is 5.1 states/eV per cell.

Unit cell a=4.4214 b=5.3489 c=5.3483 alpha=120.01 beta=89.99 gamma=90.00
Positions (direct):
Ni 0.6443 0.0315 0.0764
Ni 0.6443 0.0315 0.5898
H 0.8664 0.8693 0.7521
H 0.1427 0.5359 0.0858
Ni 0.1504 0.1812 0.9085
Ni 0.1503 0.7133 0.4406
In 0.6465 0.5360 0.0854
Ni 0.1503 0.7132 0.9085
In 0.1450 0.2026 0.4190
Ni 0.6443 0.5448 0.5898

## x
## InNi3H (PBE)

Data for a geometry-optimized InNi3H structure.

The calculated density comes out at 5.82 g/cm³. The density of states at the Fermi level is 6.6 states/eV per cell.

Unit cell a=4.2100 b=4.2100 c=9.8567 alpha=77.67 beta=77.67 gamma=90.00
Positions (direct):
Ni 0.3563 0.3563 0.2875
H 0.6376 0.1376 0.7248
Ni 0.6299 0.8739 0.2522
In 0.0000 0.0000 0.0000
Ni 0.6437 0.6437 0.7125
In 0.2500 0.7500 0.5000
Ni 0.1179 0.8739 0.2522
H 0.8624 0.3624 0.2752
Ni 0.1261 0.8821 0.7478
Ni 0.1261 0.3701 0.7478

The most stable of them is w.